Entry 1:
4
Lattice="-1.3960 2.1907 4.4286 1.3960 -2.1907 4.4286 1.3960 2.1907 -4.4286" Properties=species:S:1:pos:R:3 comment="BePt2Rh PBE optimized geometry" ef_kj_per_mol_atoms=-27.2 dos_at_fermi_per_ev_cell=3.91 spacegroup=Immm pbc="T T T"
Be 0.0000 0.0000 0.0000
Pt 1.3960 0.0000 1.8250
Pt 0.0000 2.1907 2.6036
Rh 0.0000 0.0000 4.4286


Entry 2:
6
Lattice="3.7137 0.0000 0.0000 0.0000 3.7137 0.0000 0.0000 0.0000 10.9746" Properties=species:S:1:pos:R:3 comment="NaPr2Au3 PBE optimized geometry" ef_kj_per_mol_atoms=-57.9 dos_at_fermi_per_ev_cell=4.07 spacegroup=P4/mmm pbc="T T T"
Na 0.0000 0.0000 0.0000
Pr 0.0000 0.0000 3.5525
Pr 0.0000 0.0000 7.4220
Au 1.8569 1.8569 1.8488
Au 1.8569 1.8569 5.4873
Au 1.8569 1.8569 9.1258


Entry 3:
10
Lattice="2.8449 -4.0357 0.0000 2.8449 4.0357 0.0000 0.0000 0.0000 3.4161" Properties=species:S:1:pos:R:3 comment="MgH7Rh2 PBE optimized geometry" total_energy_ev_per_fu=-40.9 dos_at_fermi_per_ev_cell=1.20 spacegroup=Cmmm pbc="T T T"
Mg 0.0000 0.0000 0.0000
H 1.1800 1.0404 1.7081
H 2.8449 1.5414 0.0000
H 1.1800 -1.0404 1.7081
H 2.8449 0.0000 1.7081
H 4.5099 1.0404 1.7081
H 2.8449 -1.5414 0.0000
H 4.5099 -1.0404 1.7081
Rh 2.8449 1.7386 1.7081
Rh 2.8449 -1.7386 1.7081


Entry 4:
12
Lattice="0.0000 4.9277 8.0789 3.2671 0.0000 8.0789 3.2671 4.9277 0.0000" Properties=species:S:1:pos:R:3 comment="ThSn2Pd3 PBE optimized geometry" ef_kj_per_mol_atoms=-35.2 dos_at_fermi_per_ev_cell=3.48 spacegroup=Fmmm pbc="T T T"
Th 3.2671 4.9277 2.7189
Th 3.2671 4.9277 13.4390
Sn 1.6335 2.4639 4.0395
Sn 4.7956 4.9277 8.0789
Sn 1.7385 4.9277 8.0789
Sn 4.9006 7.3916 12.1184
Pd 3.2671 2.4082 6.6898
Pd 3.2671 2.4082 9.4681
Pd 3.2671 4.9277 5.6204
Pd 3.2671 4.9277 10.5375
Pd 3.2671 7.4472 6.6898
Pd 3.2671 7.4472 9.4681


Entry 5:
5
Lattice="5.2251 0.0000 0.0000 0.0000 5.2251 0.0000 0.0000 0.0000 5.2698" Properties=species:S:1:pos:R:3 comment="VTe2RhI PBE optimized geometry" raw_formation_energy_ev_per_fu=4.3 dos_at_fermi_per_ev_cell=8.69 spacegroup=P4/mmm pbc="T T T"
V 0.0000 0.0000 0.0000
Te 0.0000 2.6126 2.6349
Te 2.6126 0.0000 2.6349
Rh 2.6126 2.6126 2.6349
I 2.6126 2.6126 0.0000


Entry 6:
18
Lattice="-4.4367 4.4367 7.9385 4.4367 -4.4367 7.9385 4.4367 4.4367 -7.9385" Properties=species:S:1:pos:R:3 comment="AcLaTb5Pm2 PBE optimized geometry" ef_kj_per_mol_atoms=22.3 dos_at_fermi_per_ev_cell=20.09 spacegroup=I4/mcm pbc="T T T"
Ac 0.0000 0.0000 3.9693
Ac 0.0000 0.0000 11.9078
La 4.4367 0.0000 3.9693
La 0.0000 4.4367 3.9693
Tb 0.0000 0.0000 0.0000
Tb 6.2408 1.8042 -2.0742
Tb 1.8042 2.6325 -2.0742
Tb 6.2408 1.8042 2.0742
Tb 1.8042 2.6325 2.0742
Tb 0.0000 0.0000 7.9385
Tb 2.6325 1.8042 5.8644
Tb -1.8042 2.6325 5.8644
Tb 2.6325 1.8042 10.0127
Tb -1.8042 2.6325 10.0127
Pm 3.3904 1.0463 0.0000
Pm 3.3904 -1.0463 7.9385
Pm 1.0463 5.4830 0.0000
Pm 1.0463 3.3904 7.9385